MnCoNO2: relaxed, GGA+U.

As for the crystal system: tetragonal. The value obtained for the volume is 51.58 Å³ per cell. Its total DFT energy (no corrections) is -30.99 eV for the cell shown.

Unit cell a=3.9038 b=3.9038 c=3.3848 alpha=90.00 beta=90.00 gamma=90.00
With the nearest neighbours (Å) after each atom.
Space group P4/mmm (No. 123)
Symmetry-distinct sites (fractional):
Mn1 0.0000 0.0000 0.0000 [1 per cell]  8 O 2.58, 4 N 2.76
Co1 0.5000 0.5000 0.5000 [1 per cell]  2 N 1.69
N1 0.5000 0.5000 0.0000 [1 per cell]  2 Co 1.69
O1 0.0000 0.5000 0.5000 [2 per cell]  2 Co 1.95